(1)
YTiTcI2: optimized geometry, GGA-PBEsol.

Computed properties:
V	128.3	Å³ per cell
total energy	-27.70	eV/cell
formation energy without anion corrections	2.242	eV/f.u.

Structure (CIF):
```
data_YTiTcI2
_cell_length_a 4.556
_cell_length_b 5.307
_cell_length_c 5.307
_cell_angle_alpha 90.00
_cell_angle_beta 90.00
_cell_angle_gamma 90.00
_symmetry_space_group_name_H-M 'P 1'
_symmetry_Int_Tables_number 1
_symmetry_space_group_name_Hall 'P 1'
loop_
_atom_site_label
_atom_site_type_symbol
_atom_site_fract_x
_atom_site_fract_y
_atom_site_fract_z
_atom_site_occupancy
I1 I 0.000 0.000 0.500 1
I2 I 0.000 0.500 0.000 1
Y1 Y 0.500 0.500 0.500 1
Tc1 Tc 0.000 0.000 0.000 1
Ti1 Ti 0.500 0.000 0.000 1
```

***

(2)
Sr2NiPtN: optimized geometry, GGA-PBEsol.

Computed properties:
V	129.1	Å³ per cell
total energy	-21.98	eV/cell
formation energy without anion corrections	3.345	eV/f.u.

Structure (CIF):
```
data_Sr2NiPtN
_cell_length_a 4.402
_cell_length_b 5.414
_cell_length_c 5.414
_cell_angle_alpha 90.00
_cell_angle_beta 90.00
_cell_angle_gamma 90.00
_symmetry_space_group_name_H-M 'P 1'
_symmetry_Int_Tables_number 1
_symmetry_space_group_name_Hall 'P 1'
loop_
_atom_site_label
_atom_site_type_symbol
_atom_site_fract_x
_atom_site_fract_y
_atom_site_fract_z
_atom_site_occupancy
Sr1 Sr 0.000 0.000 0.500 1
Sr2 Sr 0.000 0.500 0.000 1
N1 N 0.500 0.500 0.500 1
Pt1 Pt 0.500 0.000 0.000 1
Ni1 Ni 0.000 0.000 0.000 1
```

***

(3)
CaZnAsHO5: optimized geometry, GGA-PBEsol.

Computed properties:
V	400.2	Å³ per cell
total energy	-218.20	eV/cell

Structure (CIF):
```
data_CaZnAsHO5
_cell_length_a 5.933
_cell_length_b 7.461
_cell_length_c 9.040
_cell_angle_alpha 90.00
_cell_angle_beta 90.00
_cell_angle_gamma 90.00
_symmetry_space_group_name_H-M 'P 1'
_symmetry_Int_Tables_number 1
_symmetry_space_group_name_Hall 'P 1'
loop_
_atom_site_label
_atom_site_type_symbol
_atom_site_fract_x
_atom_site_fract_y
_atom_site_fract_z
_atom_site_occupancy
Ca1 Ca 0.024 0.371 0.825 1
Ca2 Ca 0.524 0.129 0.175 1
Ca3 Ca 0.976 0.871 0.675 1
Ca4 Ca 0.476 0.629 0.325 1
Zn1 Zn 0.257 0.764 0.994 1
Zn2 Zn 0.757 0.736 0.006 1
Zn3 Zn 0.743 0.264 0.506 1
Zn4 Zn 0.243 0.236 0.494 1
As1 As 0.983 0.373 0.175 1
As2 As 0.483 0.127 0.825 1
As3 As 0.017 0.873 0.325 1
As4 As 0.517 0.627 0.675 1
H1 H 0.977 0.011 0.983 1
H2 H 0.477 0.489 0.017 1
H3 H 0.023 0.511 0.517 1
H4 H 0.523 0.989 0.483 1
O1 O 0.992 0.894 0.929 1
O2 O 0.492 0.606 0.071 1
O3 O 0.008 0.394 0.571 1
O4 O 0.508 0.106 0.429 1
O5 O 0.746 0.607 0.789 1
O6 O 0.246 0.893 0.211 1
O7 O 0.254 0.107 0.711 1
O8 O 0.754 0.393 0.289 1
O9 O 0.489 0.449 0.554 1
O10 O 0.989 0.051 0.446 1
O11 O 0.511 0.949 0.946 1
O12 O 0.011 0.551 0.054 1
O13 O 0.594 0.798 0.559 1
O14 O 0.094 0.702 0.441 1
O15 O 0.406 0.298 0.941 1
O16 O 0.906 0.202 0.059 1
O17 O 0.234 0.345 0.267 1
O18 O 0.734 0.155 0.733 1
O19 O 0.766 0.845 0.233 1
O20 O 0.266 0.655 0.767 1
```

***

(4)
ZrB2Br: optimized geometry, GGA-PBEsol.

Computed properties:
V	56.7	Å³ per cell
total energy	-19.55	eV/cell
formation energy without anion corrections	5.444	eV/f.u.

Structure (CIF):
```
data_ZrB2Br
_cell_length_a 4.312
_cell_length_b 4.312
_cell_length_c 4.312
_cell_angle_alpha 60.00
_cell_angle_beta 60.00
_cell_angle_gamma 60.00
_symmetry_space_group_name_H-M 'P 1'
_symmetry_Int_Tables_number 1
_symmetry_space_group_name_Hall 'P 1'
loop_
_atom_site_label
_atom_site_type_symbol
_atom_site_fract_x
_atom_site_fract_y
_atom_site_fract_z
_atom_site_occupancy
B1 B 0.250 0.250 0.250 1
B2 B 0.750 0.750 0.750 1
Br1 Br 0.000 0.000 0.000 1
Zr1 Zr 0.500 0.500 0.500 1
```

***

(5)
Li2SiAgB: optimized geometry, GGA-PBEsol.

Computed properties:
V	97.2	Å³ per cell
total energy	-14.67	eV/cell
formation energy without anion corrections	5.342	eV/f.u.

Structure (CIF):
```
data_Li2SiAgB
_cell_length_a 4.538
_cell_length_b 4.627
_cell_length_c 4.627
_cell_angle_alpha 90.00
_cell_angle_beta 90.00
_cell_angle_gamma 90.00
_symmetry_space_group_name_H-M 'P 1'
_symmetry_Int_Tables_number 1
_symmetry_space_group_name_Hall 'P 1'
loop_
_atom_site_label
_atom_site_type_symbol
_atom_site_fract_x
_atom_site_fract_y
_atom_site_fract_z
_atom_site_occupancy
Si1 Si 0.500 0.000 0.000 1
B1 B 0.500 0.500 0.500 1
Ag1 Ag 0.000 0.000 0.000 1
Li1 Li 0.000 0.000 0.500 1
Li2 Li 0.000 0.500 0.000 1
```

***

(6)
NaSnO3: optimized geometry, GGA-PBEsol.

Computed properties:
V	66.7	Å³ per cell
total energy	-20.98	eV/cell
formation energy without anion corrections	0.428	eV/f.u.

Structure (CIF):
```
data_NaSnO3
_cell_length_a 4.056
_cell_length_b 4.056
_cell_length_c 4.056
_cell_angle_alpha 90.00
_cell_angle_beta 90.00
_cell_angle_gamma 90.00
_symmetry_space_group_name_H-M 'P 1'
_symmetry_Int_Tables_number 1
_symmetry_space_group_name_Hall 'P 1'
loop_
_atom_site_label
_atom_site_type_symbol
_atom_site_fract_x
_atom_site_fract_y
_atom_site_fract_z
_atom_site_occupancy
Na1 Na 0.000 0.000 0.000 1
Sn1 Sn 0.500 0.500 0.500 1
O1 O 0.000 0.500 0.000 1
O2 O 0.000 0.000 0.500 1
O3 O 0.500 0.000 0.000 1
```

***

(7)
ScHRh3: optimized geometry, GGA-PBEsol.

Computed properties:
V	96.5	Å³ per cell
energy relative to the lowest polymorph listed for this composition	223.7	kJ/mol of atoms
total energy	-25.63	eV/cell

Structure (CIF):
```
data_ScHRh3
_cell_length_a 4.586
_cell_length_b 4.586
_cell_length_c 4.586
_cell_angle_alpha 90.00
_cell_angle_beta 90.00
_cell_angle_gamma 90.00
_symmetry_space_group_name_H-M 'P 1'
_symmetry_Int_Tables_number 1
_symmetry_space_group_name_Hall 'P 1'
loop_
_atom_site_label
_atom_site_type_symbol
_atom_site_fract_x
_atom_site_fract_y
_atom_site_fract_z
_atom_site_occupancy
Sc1 Sc 0.000 0.000 0.000 1
H1 H 0.500 0.500 0.500 1
Rh1 Rh 0.000 0.500 0.000 1
Rh2 Rh 0.000 0.000 0.500 1
Rh3 Rh 0.500 0.000 0.000 1
```

***

(8)
GaAs2RhBr: optimized geometry, GGA-PBEsol.

Computed properties:
V	118.8	Å³ per cell
total energy	-22.15	eV/cell
formation energy without anion corrections	1.408	eV/f.u.

Structure (CIF):
```
data_GaAs2RhBr
_cell_length_a 4.666
_cell_length_b 4.666
_cell_length_c 5.456
_cell_angle_alpha 90.00
_cell_angle_beta 90.00
_cell_angle_gamma 90.00
_symmetry_space_group_name_H-M 'P 1'
_symmetry_Int_Tables_number 1
_symmetry_space_group_name_Hall 'P 1'
loop_
_atom_site_label
_atom_site_type_symbol
_atom_site_fract_x
_atom_site_fract_y
_atom_site_fract_z
_atom_site_occupancy
As1 As 0.000 0.500 0.000 1
As2 As 0.500 0.000 0.000 1
Rh1 Rh 0.000 0.000 0.000 1
Ga1 Ga 0.500 0.500 0.500 1
Br1 Br 0.000 0.000 0.500 1
```